DFT (PBE) results for K2CdGe after structural relaxation.

Results
* formation energy: 0.056 eV per atom

abc: 9.502 9.502 9.502
angles: 94.39 94.39 147.89
Positions (direct):
K1 0.375 0.170 0.295
K2 0.830 0.125 0.205
K3 0.875 0.080 0.705
K4 0.920 0.625 0.795
Cd1 0.250 0.750 0.500
Cd2 0.500 0.500 0.000
Ge1 0.000 0.000 0.000
Ge2 0.750 0.250 0.500


DFT (PBE) results for PuIn3Br7 after structural relaxation.

Results
* raw formation energy: -0.96 eV per atom

abc: 7.673 7.673 8.436
angles: 110.89 110.89 84.17
Positions (direct):
Pu1 0.000 0.000 0.000
In1 0.209 0.766 0.500
In2 0.497 0.497 0.960
In3 0.766 0.209 0.500
Br1 0.047 0.656 0.757
Br2 0.159 0.159 0.830
Br3 0.342 0.948 0.241
Br4 0.503 0.503 0.612
Br5 0.656 0.047 0.757
Br6 0.833 0.833 0.156
Br7 0.948 0.342 0.241


Number 1: total magnetization 0.000 μB/atom, theoretical density 1.99 g/cm3. Number 2: total magnetization 0.361 μB/atom, theoretical density 4.40 g/cm3.